This record from Alexandria describes LiV4Ni2O12 after structural relaxation. The functional is PBE with a Hubbard U.

Geometry as POSCAR:
```
LiV4Ni2O12
1.0
5.744 0.000 0.000
1.917 6.443 0.000
1.601 0.529 6.668
Li V Ni O
1 4 2 12
Direct
0.000 0.000 0.000
0.423 0.226 0.072
0.460 0.798 0.658
0.889 0.454 0.880
0.944 0.990 0.488
0.462 0.692 0.194
0.961 0.534 0.355
0.053 0.835 0.286
0.137 0.925 0.681
0.189 0.241 0.938
0.332 0.428 0.231
0.469 0.990 0.203
0.499 0.667 0.885
0.556 0.633 0.473
0.631 0.991 0.605
0.723 0.231 0.926
0.836 0.589 0.101
0.933 0.233 0.400
0.983 0.555 0.639
```

## Properties
The value obtained for the magnetic moment is 5.00 Bohr magnetons per cell. The final energy is -6.79 eV per atom.